# Sm2HoMg (PBE, relaxed)
# * offset from the most stable computed form: 26 kJ/mol of formula units
data_Sm2HoMg
_chemical_formula_sum 'Sm2 Ho1 Mg1'
_cell_length_a 3.537
_cell_length_b 3.537
_cell_length_c 11.616
_cell_angle_alpha 81.27
_cell_angle_beta 81.27
_cell_angle_gamma 59.99
_space_group_name_H-M_alt 'P 1'
_space_group_IT_number 1
_space_group_name_Hall 'P 1'
loop_
_atom_site_label
_atom_site_type_symbol
_atom_site_fract_x
_atom_site_fract_y
_atom_site_fract_z
Sm1 Sm 0.084 0.084 0.747
Sm2 Sm 0.249 0.249 0.254
Mg1 Mg 0.500 0.500 0.500
Ho1 Ho 0.667 0.667 0.999

***

# Li6Cu2Pt (PBE, relaxed)
# * offset from the most stable computed form: 0 kJ/mol of formula units
data_Li6Cu2Pt
_chemical_formula_sum 'Li6 Cu2 Pt1'
_cell_length_a 5.007
_cell_length_b 5.011
_cell_length_c 5.011
_cell_angle_alpha 96.15
_cell_angle_beta 96.07
_cell_angle_gamma 96.07
_space_group_name_H-M_alt 'P 1'
_space_group_IT_number 1
_space_group_name_Hall 'P 1'
loop_
_atom_site_label
_atom_site_type_symbol
_atom_site_fract_x
_atom_site_fract_y
_atom_site_fract_z
Pt1 Pt 0.000 0.000 0.000
Cu1 Cu 0.663 0.663 0.663
Cu2 Cu 0.337 0.337 0.337
Li1 Li 0.163 0.500 0.837
Li2 Li 0.837 0.500 0.163
Li3 Li 0.163 0.837 0.500
Li4 Li 0.500 0.837 0.163
Li5 Li 0.837 0.163 0.500
Li6 Li 0.500 0.163 0.837

***

# GaNi15Sn4 (PBE, relaxed)
# * VASP energy: -5.490 eV per atom
data_GaNi15Sn4
_chemical_formula_sum 'Ga1 Ni15 Sn4'
_cell_length_a 3.720
_cell_length_b 3.720
_cell_length_c 18.354
_cell_angle_alpha 90.00
_cell_angle_beta 90.00
_cell_angle_gamma 90.00
_space_group_name_H-M_alt 'P 1'
_space_group_IT_number 1
_space_group_name_Hall 'P 1'
loop_
_atom_site_label
_atom_site_type_symbol
_atom_site_fract_x
_atom_site_fract_y
_atom_site_fract_z
Ni1 Ni 0.500 0.000 0.908
Ni2 Ni 0.500 0.500 0.602
Ni3 Ni 0.000 0.500 0.092
Ni4 Ni 0.500 0.000 0.500
Ni5 Ni 0.500 0.500 0.805
Ni6 Ni 0.000 0.500 0.704
Ni7 Ni 0.500 0.500 0.195
Ni8 Ni 0.500 0.500 0.398
Ni9 Ni 0.500 0.000 0.704
Ni10 Ni 0.500 0.500 0.000
Ni11 Ni 0.500 0.000 0.296
Ni12 Ni 0.000 0.500 0.296
Ni13 Ni 0.000 0.500 0.500
Ni14 Ni 0.000 0.500 0.908
Ni15 Ni 0.500 0.000 0.092
Sn1 Sn 0.000 0.000 0.194
Sn2 Sn 0.000 0.000 0.806
Sn3 Sn 0.000 0.000 0.602
Sn4 Sn 0.000 0.000 0.398
Ga1 Ga 0.000 0.000 0.000

***

# Nd2Ga4Cu3Sn (PBE, relaxed)
# * VASP energy: -4.250 eV per atom
data_Nd2Ga4Cu3Sn
_chemical_formula_sum 'Nd2 Ga4 Cu3 Sn1'
_cell_length_a 4.242
_cell_length_b 4.242
_cell_length_c 10.691
_cell_angle_alpha 90.00
_cell_angle_beta 90.00
_cell_angle_gamma 90.00
_space_group_name_H-M_alt 'P 1'
_space_group_IT_number 1
_space_group_name_Hall 'P 1'
loop_
_atom_site_label
_atom_site_type_symbol
_atom_site_fract_x
_atom_site_fract_y
_atom_site_fract_z
Ga1 Ga 0.500 0.500 0.000
Ga2 Ga 0.000 0.000 0.000
Ga3 Ga 0.000 0.500 0.343
Ga4 Ga 0.500 0.000 0.657
Cu1 Cu 0.500 0.000 0.879
Cu2 Cu 0.000 0.500 0.121
Cu3 Cu 0.000 0.000 0.500
Sn1 Sn 0.500 0.500 0.500
Nd1 Nd 0.500 0.000 0.237
Nd2 Nd 0.000 0.500 0.763

***

# Ca3Co5H12 (PBE, relaxed)
# * VASP energy: -4.225 eV per atom
data_Ca3Co5H12
_chemical_formula_sum 'Ca12 Co20 H48'
_cell_length_a 9.630
_cell_length_b 9.630
_cell_length_c 9.630
_cell_angle_alpha 109.47
_cell_angle_beta 109.47
_cell_angle_gamma 109.47
_space_group_name_H-M_alt 'P 1'
_space_group_IT_number 1
_space_group_name_Hall 'P 1'
loop_
_atom_site_label
_atom_site_type_symbol
_atom_site_fract_x
_atom_site_fract_y
_atom_site_fract_z
H1 H 0.827 0.917 0.317
H2 H 0.410 0.400 0.583
H3 H 0.400 0.410 0.083
H4 H 0.183 0.673 0.083
H5 H 0.317 0.417 0.827
H6 H 0.990 0.400 0.317
H7 H 0.090 0.917 0.100
H8 H 0.400 0.990 0.817
H9 H 0.900 0.583 0.910
H10 H 0.583 0.900 0.410
H11 H 0.490 0.673 0.090
H12 H 0.510 0.327 0.910
H13 H 0.817 0.327 0.917
H14 H 0.910 0.827 0.510
H15 H 0.317 0.900 0.990
H16 H 0.417 0.100 0.590
H17 H 0.990 0.590 0.173
H18 H 0.083 0.173 0.183
H19 H 0.327 0.817 0.417
H20 H 0.173 0.083 0.683
H21 H 0.510 0.183 0.100
H22 H 0.010 0.410 0.827
H23 H 0.817 0.490 0.400
H24 H 0.600 0.010 0.183
H25 H 0.827 0.910 0.010
H26 H 0.010 0.600 0.683
H27 H 0.917 0.827 0.817
H28 H 0.917 0.090 0.600
H29 H 0.090 0.173 0.490
H30 H 0.910 0.083 0.900
H31 H 0.683 0.583 0.173
H32 H 0.600 0.590 0.917
H33 H 0.327 0.510 0.410
H34 H 0.590 0.600 0.417
H35 H 0.083 0.910 0.400
H36 H 0.100 0.417 0.090
H37 H 0.900 0.317 0.490
H38 H 0.583 0.683 0.673
H39 H 0.673 0.490 0.590
H40 H 0.173 0.090 0.990
H41 H 0.673 0.183 0.583
H42 H 0.183 0.510 0.600
H43 H 0.490 0.817 0.900
H44 H 0.100 0.683 0.510
H45 H 0.417 0.317 0.327
H46 H 0.410 0.010 0.327
H47 H 0.590 0.990 0.673
H48 H 0.683 0.100 0.010
Co1 Co 0.875 0.625 0.750
Co2 Co 0.750 0.625 0.375
Co3 Co 0.250 0.375 0.625
Co4 Co 0.625 0.875 0.250
Co5 Co 0.125 0.750 0.375
Co6 Co 0.750 0.125 0.875
Co7 Co 0.000 0.000 0.000
Co8 Co 0.250 0.875 0.125
Co9 Co 0.125 0.375 0.250
Co10 Co 0.375 0.125 0.750
Co11 Co 0.625 0.750 0.875
Co12 Co 0.500 0.000 0.500
Co13 Co 0.500 0.000 0.000
Co14 Co 0.000 0.500 0.500
Co15 Co 0.000 0.000 0.500
Co16 Co 0.500 0.500 0.500
Co17 Co 0.875 0.250 0.625
Co18 Co 0.000 0.500 0.000
Co19 Co 0.500 0.500 0.000
Co20 Co 0.375 0.250 0.125
Ca1 Ca 0.125 0.250 0.875
Ca2 Ca 0.250 0.125 0.375
Ca3 Ca 0.750 0.375 0.125
Ca4 Ca 0.750 0.875 0.625
Ca5 Ca 0.625 0.250 0.375
Ca6 Ca 0.875 0.125 0.250
Ca7 Ca 0.125 0.875 0.750
Ca8 Ca 0.875 0.750 0.125
Ca9 Ca 0.375 0.625 0.250
Ca10 Ca 0.625 0.375 0.750
Ca11 Ca 0.375 0.750 0.625
Ca12 Ca 0.250 0.625 0.875

***

# YBO3 (PBE, relaxed)
# * ΔE_f (raw): -1.17 eV per formula unit
data_YBO3
_chemical_formula_sum 'Y1 B1 O3'
_cell_length_a 4.352
_cell_length_b 4.352
_cell_length_c 4.352
_cell_angle_alpha 90.00
_cell_angle_beta 90.00
_cell_angle_gamma 90.00
_space_group_name_H-M_alt 'P 1'
_space_group_IT_number 1
_space_group_name_Hall 'P 1'
loop_
_atom_site_label
_atom_site_type_symbol
_atom_site_fract_x
_atom_site_fract_y
_atom_site_fract_z
Y1 Y 0.000 0.000 0.000
B1 B 0.500 0.500 0.500
O1 O 0.000 0.000 0.500
O2 O 0.500 0.000 0.000
O3 O 0.000 0.500 0.000

***

# HoBe8As6 (PBE, relaxed)
# * VASP energy: -4.229 eV per atom
data_HoBe8As6
_chemical_formula_sum 'Ho2 Be16 As12'
_cell_length_a 6.654
_cell_length_b 6.654
_cell_length_c 12.181
_cell_angle_alpha 90.00
_cell_angle_beta 90.00
_cell_angle_gamma 120.00
_space_group_name_H-M_alt 'P 1'
_space_group_IT_number 1
_space_group_name_Hall 'P 1'
loop_
_atom_site_label
_atom_site_type_symbol
_atom_site_fract_x
_atom_site_fract_y
_atom_site_fract_z
Be1 Be 0.370 0.370 0.792
Be2 Be 0.359 0.359 0.613
Be3 Be 0.667 0.333 0.386
Be4 Be 0.359 0.000 0.113
Be5 Be 0.333 0.667 0.886
Be6 Be 0.630 0.000 0.792
Be7 Be 0.641 0.000 0.613
Be8 Be 0.630 0.630 0.292
Be9 Be 0.641 0.641 0.113
Be10 Be 0.000 0.370 0.292
Be11 Be 0.370 0.000 0.292
Be12 Be 0.000 0.630 0.792
Be13 Be 0.667 0.333 0.886
Be14 Be 0.000 0.641 0.613
Be15 Be 0.000 0.359 0.113
Be16 Be 0.333 0.667 0.386
Ho1 Ho 0.000 0.000 0.451
Ho2 Ho 0.000 0.000 0.951
As1 As 0.000 0.000 0.201
As2 As 0.000 0.584 0.971
As3 As 0.000 0.000 0.701
As4 As 0.667 0.333 0.699
As5 As 0.333 0.667 0.199
As6 As 0.667 0.333 0.199
As7 As 0.000 0.416 0.471
As8 As 0.416 0.416 0.971
As9 As 0.333 0.667 0.699
As10 As 0.416 0.000 0.471
As11 As 0.584 0.584 0.471
As12 As 0.584 0.000 0.971

***

# KGe2Pd (PBE, relaxed)
# * VASP energy: -3.971 eV per atom
data_KGe2Pd
_chemical_formula_sum 'K2 Ge4 Pd2'
_cell_length_a 5.213
_cell_length_b 5.213
_cell_length_c 9.178
_cell_angle_alpha 73.50
_cell_angle_beta 73.50
_cell_angle_gamma 90.00
_space_group_name_H-M_alt 'P 1'
_space_group_IT_number 1
_space_group_name_Hall 'P 1'
loop_
_atom_site_label
_atom_site_type_symbol
_atom_site_fract_x
_atom_site_fract_y
_atom_site_fract_z
Ge1 Ge 0.375 0.125 0.750
Ge2 Ge 0.875 0.125 0.750
Ge3 Ge 0.875 0.125 0.250
Ge4 Ge 0.875 0.625 0.250
Pd1 Pd 0.750 0.250 0.500
Pd2 Pd 0.000 0.000 0.000
K1 K 0.250 0.750 0.500
K2 K 0.500 0.500 0.000

***

# SnAsBr2Cl (PBE, relaxed)
# * ΔE_f (raw): 0.81 eV per formula unit
# * offset from the most stable computed form: 0 kJ/mol of formula units
data_SnAsBr2Cl
_chemical_formula_sum 'Sn1 As1 Br2 Cl1'
_cell_length_a 5.369
_cell_length_b 5.369
_cell_length_c 5.736
_cell_angle_alpha 90.00
_cell_angle_beta 90.00
_cell_angle_gamma 90.00
_space_group_name_H-M_alt 'P 1'
_space_group_IT_number 1
_space_group_name_Hall 'P 1'
loop_
_atom_site_label
_atom_site_type_symbol
_atom_site_fract_x
_atom_site_fract_y
_atom_site_fract_z
Br1 Br 0.000 0.500 0.000
Br2 Br 0.500 0.000 0.000
As1 As 0.000 0.000 0.500
Cl1 Cl 0.500 0.500 0.500
Sn1 Sn 0.000 0.000 0.000

***

# TbZrBi2 (PBE, relaxed)
# * offset from the most stable computed form: 0 kJ/mol of formula units
data_TbZrBi2
_chemical_formula_sum 'Tb1 Zr1 Bi2'
_cell_length_a 4.336
_cell_length_b 4.336
_cell_length_c 7.626
_cell_angle_alpha 73.48
_cell_angle_beta 73.48
_cell_angle_gamma 60.00
_space_group_name_H-M_alt 'P 1'
_space_group_IT_number 1
_space_group_name_Hall 'P 1'
loop_
_atom_site_label
_atom_site_type_symbol
_atom_site_fract_x
_atom_site_fract_y
_atom_site_fract_z
Tb1 Tb 0.500 0.500 0.500
Zr1 Zr 0.000 0.000 0.000
Bi1 Bi 0.746 0.746 0.763
Bi2 Bi 0.254 0.254 0.237

***

# Na2ZnSi2 (PBE, relaxed)
# * ΔE_f (raw): 0.44 eV per formula unit
# * offset from the most stable computed form: 0 kJ/mol of formula units
data_Na2ZnSi2
_chemical_formula_sum 'Na4 Zn2 Si4'
_cell_length_a 6.465
_cell_length_b 6.465
_cell_length_c 4.885
_cell_angle_alpha 90.00
_cell_angle_beta 90.00
_cell_angle_gamma 90.00
_space_group_name_H-M_alt 'P 1'
_space_group_IT_number 1
_space_group_name_Hall 'P 1'
loop_
_atom_site_label
_atom_site_type_symbol
_atom_site_fract_x
_atom_site_fract_y
_atom_site_fract_z
Si1 Si 0.131 0.369 0.000
Si2 Si 0.869 0.631 0.000
Si3 Si 0.631 0.131 0.000
Si4 Si 0.369 0.869 0.000
Zn1 Zn 0.500 0.500 0.000
Zn2 Zn 0.000 0.000 0.000
Na1 Na 0.174 0.674 0.500
Na2 Na 0.326 0.174 0.500
Na3 Na 0.826 0.326 0.500
Na4 Na 0.674 0.826 0.500

***

# LiTaCoGe2 (PBE, relaxed)
# * offset from the most stable computed form: 155 kJ/mol of formula units
data_LiTaCoGe2
_chemical_formula_sum 'Li1 Ta1 Co1 Ge2'
_cell_length_a 4.185
_cell_length_b 4.484
_cell_length_c 4.185
_cell_angle_alpha 90.00
_cell_angle_beta 90.00
_cell_angle_gamma 90.00
_space_group_name_H-M_alt 'P 1'
_space_group_IT_number 1
_space_group_name_Hall 'P 1'
loop_
_atom_site_label
_atom_site_type_symbol
_atom_site_fract_x
_atom_site_fract_y
_atom_site_fract_z
Li1 Li 0.000 0.000 0.000
Ta1 Ta 0.000 0.500 0.000
Ge1 Ge 0.000 0.000 0.500
Ge2 Ge 0.500 0.000 0.000
Co1 Co 0.500 0.500 0.500

***

# ZrScF2 (PBE, relaxed)
# * ΔE_f (raw): -7.50 eV per formula unit
# * offset from the most stable computed form: 39 kJ/mol of formula units
data_ZrScF2
_chemical_formula_sum 'Zr2 Sc2 F4'
_cell_length_a 5.106
_cell_length_b 5.106
_cell_length_c 6.363
_cell_angle_alpha 66.35
_cell_angle_beta 66.35
_cell_angle_gamma 90.00
_space_group_name_H-M_alt 'P 1'
_space_group_IT_number 1
_space_group_name_Hall 'P 1'
loop_
_atom_site_label
_atom_site_type_symbol
_atom_site_fract_x
_atom_site_fract_y
_atom_site_fract_z
F1 F 0.875 0.826 0.750
F2 F 0.375 0.424 0.750
F3 F 0.174 0.625 0.250
F4 F 0.576 0.125 0.250
Sc1 Sc 0.500 0.500 0.000
Sc2 Sc 0.250 0.750 0.500
Zr1 Zr 0.750 0.250 0.500
Zr2 Zr 0.000 0.000 0.000

***

# ZrZn3Te (PBE, relaxed)
# * ΔE_f (raw): 4.09 eV per formula unit
# * offset from the most stable computed form: 0 kJ/mol of formula units
data_ZrZn3Te
_chemical_formula_sum 'Zr1 Zn3 Te1'
_cell_length_a 5.275
_cell_length_b 5.275
_cell_length_c 5.275
_cell_angle_alpha 90.00
_cell_angle_beta 90.00
_cell_angle_gamma 90.00
_space_group_name_H-M_alt 'P 1'
_space_group_IT_number 1
_space_group_name_Hall 'P 1'
loop_
_atom_site_label
_atom_site_type_symbol
_atom_site_fract_x
_atom_site_fract_y
_atom_site_fract_z
Te1 Te 0.500 0.500 0.500
Zn1 Zn 0.000 0.500 0.000
Zn2 Zn 0.000 0.000 0.500
Zn3 Zn 0.500 0.000 0.000
Zr1 Zr 0.000 0.000 0.000

***

# SmLu2Bi (PBE, relaxed)
# * offset from the most stable computed form: 0 kJ/mol of formula units
data_SmLu2Bi
_chemical_formula_sum 'Sm1 Lu2 Bi1'
_cell_length_a 4.866
_cell_length_b 4.847
_cell_length_c 4.847
_cell_angle_alpha 90.00
_cell_angle_beta 90.00
_cell_angle_gamma 90.00
_space_group_name_H-M_alt 'P 1'
_space_group_IT_number 1
_space_group_name_Hall 'P 1'
loop_
_atom_site_label
_atom_site_type_symbol
_atom_site_fract_x
_atom_site_fract_y
_atom_site_fract_z
Lu1 Lu 0.000 0.500 0.000
Lu2 Lu 0.000 0.000 0.500
Sm1 Sm 0.500 0.500 0.500
Bi1 Bi 0.500 0.000 0.000

***

# Pm2DyEr3Sb6 (PBE, relaxed)
# * ΔE_f (raw): -13.54 eV per formula unit
data_Pm2DyEr3Sb6
_chemical_formula_sum 'Pm2 Dy1 Er3 Sb6'
_cell_length_a 4.406
_cell_length_b 8.807
_cell_length_c 9.846
_cell_angle_alpha 102.84
_cell_angle_beta 102.93
_cell_angle_gamma 90.00
_space_group_name_H-M_alt 'P 1'
_space_group_IT_number 1
_space_group_name_Hall 'P 1'
loop_
_atom_site_label
_atom_site_type_symbol
_atom_site_fract_x
_atom_site_fract_y
_atom_site_fract_z
Pm1 Pm 0.834 0.667 0.668
Pm2 Pm 0.166 0.333 0.332
Sb1 Sb 0.997 0.250 0.995
Sb2 Sb 0.665 0.588 0.329
Sb3 Sb 0.003 0.750 0.005
Sb4 Sb 0.333 0.923 0.667
Sb5 Sb 0.335 0.412 0.671
Sb6 Sb 0.667 0.077 0.333
Dy1 Dy 0.500 0.000 0.000
Er1 Er 0.168 0.834 0.335
Er2 Er 0.832 0.166 0.665
Er3 Er 0.500 0.500 0.000

***

# EuErRu4 (PBE, relaxed)
# * VASP energy: -8.772 eV per atom
data_EuErRu4
_chemical_formula_sum 'Eu1 Er1 Ru4'
_cell_length_a 5.358
_cell_length_b 5.358
_cell_length_c 5.358
_cell_angle_alpha 60.00
_cell_angle_beta 60.00
_cell_angle_gamma 60.00
_space_group_name_H-M_alt 'P 1'
_space_group_IT_number 1
_space_group_name_Hall 'P 1'
loop_
_atom_site_label
_atom_site_type_symbol
_atom_site_fract_x
_atom_site_fract_y
_atom_site_fract_z
Ru1 Ru 0.126 0.625 0.625
Ru2 Ru 0.625 0.625 0.126
Ru3 Ru 0.625 0.126 0.625
Ru4 Ru 0.625 0.625 0.625
Eu1 Eu 0.000 0.000 0.000
Er1 Er 0.250 0.250 0.250

***

# Sr3Pm4Se8 (PBE, relaxed)
# * ΔE_f (raw): -28.87 eV per formula unit
data_Sr3Pm4Se8
_chemical_formula_sum 'Sr3 Pm4 Se8'
_cell_length_a 8.523
_cell_length_b 8.572
_cell_length_c 8.572
_cell_angle_alpha 90.16
_cell_angle_beta 119.61
_cell_angle_gamma 119.61
_space_group_name_H-M_alt 'P 1'
_space_group_IT_number 1
_space_group_name_Hall 'P 1'
loop_
_atom_site_label
_atom_site_type_symbol
_atom_site_fract_x
_atom_site_fract_y
_atom_site_fract_z
Sr1 Sr 0.500 0.500 0.000
Sr2 Sr 0.500 0.000 0.500
Sr3 Sr 0.500 0.500 0.500
Se1 Se 0.500 0.754 0.246
Se2 Se 0.500 0.246 0.754
Se3 Se 0.000 0.754 0.246
Se4 Se 0.516 0.764 0.764
Se5 Se 0.991 0.243 0.243
Se6 Se 0.484 0.236 0.236
Se7 Se 0.000 0.246 0.754
Se8 Se 0.009 0.757 0.757
Pm1 Pm 0.000 0.500 0.000
Pm2 Pm 0.000 0.000 0.500
Pm3 Pm 0.500 0.000 0.000
Pm4 Pm 0.000 0.000 0.000

***

# Sr2In4Pt3Au (PBE, relaxed)
# * VASP energy: -4.223 eV per atom
data_Sr2In4Pt3Au
_chemical_formula_sum 'Sr2 In4 Pt3 Au1'
_cell_length_a 4.824
_cell_length_b 4.824
_cell_length_c 10.538
_cell_angle_alpha 90.00
_cell_angle_beta 90.00
_cell_angle_gamma 90.00
_space_group_name_H-M_alt 'P 1'
_space_group_IT_number 1
_space_group_name_Hall 'P 1'
loop_
_atom_site_label
_atom_site_type_symbol
_atom_site_fract_x
_atom_site_fract_y
_atom_site_fract_z
Au1 Au 0.500 0.500 0.500
In1 In 0.000 0.000 0.000
In2 In 0.500 0.000 0.625
In3 In 0.500 0.500 0.000
In4 In 0.000 0.500 0.375
Pt1 Pt 0.000 0.000 0.500
Pt2 Pt 0.500 0.000 0.876
Pt3 Pt 0.000 0.500 0.124
Sr1 Sr 0.000 0.500 0.739
Sr2 Sr 0.500 0.000 0.261

***

What calculated density values result from the calculations? In sequence: 6.567; 4.894; 9.317; 7.568; 4.126; 2.976; 4.881; 4.227; 3.906; 9.458; 2.726; 8.291; 4.235; 4.696; 10.303; 7.717; 11.048; 5.473; 9.592 Mg/m³.